Record 1
Density functional theory data (GGA-PBE) for a relaxed Ce6SiP2Cl3 crystal.

Properties
**Calculated total energy**: -74.14 eV/f.u.
**Symmetry**: No. 12

a = 4.128 Å, b = 8.116 Å, c = 9.113 Å
α = 101.66°, β = 103.09°, γ = 90.00°
Last column: magnetic moment on the atom in μB.
Element x y z (fractional)
Ce1 0.334 0.908 0.668  0.55
Ce2 0.669 0.576 0.339  0.58
Ce3 0.666 0.092 0.332  0.55
Ce4 0.004 0.249 0.008  0.39
Ce5 0.996 0.751 0.992  0.39
Ce6 0.331 0.424 0.661  0.58
Si1 0.500 0.000 0.000  -0.02
P1 0.832 0.666 0.665  -0.02
P2 0.168 0.334 0.335  -0.02
Cl1 0.500 0.500 0.000  -0.01
Cl2 0.835 0.168 0.670  -0.01
Cl3 0.165 0.832 0.330  -0.01

***

Record 2
Density functional theory data (GGA-PBE) for a relaxed Ta3FeOs crystal.

Properties
**Calculated total energy**: -46.96 eV/f.u.
**Energy relative to the elements**: 1657 meV per atom
**Symmetry**: No. 221
**Energy above the lowest structure with this stoichiometry**: 755 meV/atom

a = 4.791 Å, b = 4.791 Å, c = 4.791 Å
α = 90.00°, β = 90.00°, γ = 90.00°
Element x y z (fractional)
Os1 0.000 0.000 0.000
Fe1 0.500 0.500 0.500
Ta1 0.000 0.500 0.000
Ta2 0.000 0.000 0.500
Ta3 0.500 0.000 0.000

***

Record 3
Density functional theory data (GGA-PBE) for a relaxed KBeAsBr2 crystal.

Properties
**Calculated total energy**: -15.02 eV/f.u.
**Symmetry**: No. 123
**Energy above the lowest structure with this stoichiometry**: 0 meV/atom

a = 5.500 Å, b = 5.500 Å, c = 4.354 Å
α = 90.00°, β = 90.00°, γ = 90.00°
Last column: magnetic moment on the atom in μB.
Element x y z (fractional)
Be1 0.000 0.000 0.000  -0.01
As1 0.000 0.000 0.500  0.45
K1 0.500 0.500 0.500  0.00
Br1 0.000 0.500 0.000  0.08
Br2 0.500 0.000 0.000  0.08

***

Record 4
Density functional theory data (GGA-PBE) for a relaxed PrEr3Sn2 crystal.

Properties
**Calculated total energy**: -29.42 eV/f.u.
**Energy relative to the elements**: -491 meV per atom
**Symmetry**: No. 12

a = 4.593 Å, b = 10.422 Å, c = 9.447 Å
α = 124.50°, β = 90.00°, γ = 102.73°
Element x y z (fractional)
Pr1 0.885 0.770 0.907
Pr2 0.115 0.230 0.093
Er1 0.307 0.614 0.502
Er2 0.943 0.887 0.577
Er3 0.642 0.284 0.802
Er4 0.358 0.716 0.198
Er5 0.057 0.113 0.423
Er6 0.693 0.386 0.498
Sn1 0.488 0.975 0.830
Sn2 0.512 0.025 0.170
Sn3 0.759 0.518 0.227
Sn4 0.241 0.482 0.773

***

Record 5
Density functional theory data (GGA-PBE) for a relaxed YbNi2 crystal.

Properties
**Calculated total energy**: -14.04 eV/f.u.
**Energy relative to the elements**: -316 meV per atom
**Symmetry**: No. 227

a = 5.063 Å, b = 5.063 Å, c = 5.063 Å
α = 60.00°, β = 60.00°, γ = 60.00°
Last column: magnetic moment on the atom in μB.
Element x y z (fractional)
Yb1 0.500 0.500 0.500  0.21
Yb2 0.750 0.750 0.750  0.21
Ni1 0.125 0.125 0.125  0.10
Ni2 0.625 0.125 0.125  0.10
Ni3 0.125 0.625 0.125  0.10
Ni4 0.125 0.125 0.625  0.10

***

Record 6
Density functional theory data (GGA-PBE) for a relaxed TaMn2Fe crystal.

Properties
**Calculated total energy**: -37.48 eV/f.u.
**Energy relative to the elements**: 294 meV per atom
**Symmetry**: No. 160

a = 8.724 Å, b = 8.724 Å, c = 8.724 Å
α = 17.88°, β = 17.88°, γ = 17.88°
Last column: magnetic moment on the atom in μB.
Element x y z (fractional)
Fe1 0.744 0.744 0.744  2.29
Mn1 0.998 0.998 0.998  2.40
Mn2 0.259 0.259 0.259  -1.84
Ta1 0.500 0.500 0.500  0.00

***

Record 7
Density functional theory data (GGA-PBE) for a relaxed Y2HoTm2 crystal.

Properties
**Calculated total energy**: -25.99 eV/f.u.
**Energy relative to the elements**: 92 meV per atom
**Symmetry**: No. 127
**Energy above the lowest structure with this stoichiometry**: 66 meV/atom

a = 9.258 Å, b = 9.258 Å, c = 3.686 Å
α = 90.00°, β = 90.00°, γ = 90.00°
Element x y z (fractional)
Y1 0.327 0.827 0.500
Y2 0.827 0.673 0.500
Y3 0.673 0.173 0.500
Y4 0.173 0.327 0.500
Ho1 0.000 0.000 0.000
Ho2 0.500 0.500 0.000
Tm1 0.126 0.626 0.000
Tm2 0.626 0.874 0.000
Tm3 0.874 0.374 0.000
Tm4 0.374 0.126 0.000

***

Record 8
Density functional theory data (GGA-PBE) for a relaxed LaNb2As2 crystal.

Properties
**Calculated total energy**: -37.19 eV/f.u.
**Energy relative to the elements**: -564 meV per atom
**Symmetry**: No. 139
**Energy above the lowest structure with this stoichiometry**: 272 meV/atom

a = 4.990 Å, b = 4.990 Å, c = 5.643 Å
α = 63.76°, β = 63.76°, γ = 90.00°
Element x y z (fractional)
Nb1 0.365 0.365 0.271
Nb2 0.635 0.635 0.729
As1 0.750 0.250 0.500
As2 0.250 0.750 0.500
La1 0.000 0.000 0.000